(1)
{"formula": "La2CrTc", "functional": "GGA-PBEsol", "state": "relaxed", "lattice_angstrom": [[-1.7109, 2.3933, 5.6055], [1.7109, -2.3933, 5.6055], [1.7109, 2.3933, -5.6055]], "species": ["La", "La", "Cr", "Tc"], "fractional_positions": [[0.0000, 0.0000, 0.0000], [0.7131, 0.2131, 0.5000], [0.4198, 0.4198, 0.0000], [0.2897, 0.7897, 0.5000]], "delta_e_f_ev_per_atom": 0.334, "e_above_lowest_polymorph_ev_per_fu": 0.00, "volume_a3_per_atom": 22.95}

***

(2)
{"formula": "BaRePb2", "functional": "GGA-PBEsol", "state": "relaxed", "lattice_angstrom": [[0.0000, 3.6789, 3.6789], [3.6789, 0.0000, 3.6789], [3.6789, 3.6789, 0.0000]], "species": ["Ba", "Re", "Pb", "Pb"], "fractional_positions": [[0.0000, 0.0000, 0.0000], [0.5000, 0.5000, 0.5000], [0.2500, 0.2500, 0.2500], [0.7500, 0.7500, 0.7500]], "delta_e_f_ev_per_atom": 0.698, "e_above_lowest_polymorph_ev_per_fu": 1.13, "volume_a3_per_atom": 24.90}

***

(3)
{"formula": "FeNiIr2", "functional": "GGA-PBEsol", "state": "relaxed", "lattice_angstrom": [[2.6432, 0.0000, 0.0000], [0.0000, 2.6432, 0.0000], [0.0000, 0.0000, 7.0615]], "species": ["Fe", "Ni", "Ir", "Ir"], "fractional_positions": [[0.0000, 0.0000, 0.0000], [0.0000, 0.0000, 0.5000], [0.5000, 0.5000, 0.2462], [0.5000, 0.5000, 0.7538]], "delta_e_f_ev_per_atom": -0.008, "e_above_lowest_polymorph_ev_per_fu": 0.08, "volume_a3_per_atom": 12.33}

***

(4)
{"formula": "AlFeRh2", "functional": "GGA-PBEsol", "state": "relaxed", "lattice_angstrom": [[2.9470, 0.0000, 0.0000], [0.0000, 2.9470, 0.0000], [0.0000, 0.0000, 5.9726]], "species": ["Al", "Fe", "Rh", "Rh"], "fractional_positions": [[0.0000, 0.0000, 0.0000], [0.0000, 0.0000, 0.5000], [0.5000, 0.5000, 0.2472], [0.5000, 0.5000, 0.7528]], "delta_e_f_ev_per_atom": -0.535, "volume_a3_per_atom": 12.97}

***

(5)
{"formula": "Hg7P2O10", "functional": "GGA-PBEsol", "state": "relaxed", "lattice_angstrom": [[6.2751, 0.0000, 0.0000], [0.0000, 10.0773, 0.0000], [-0.9113, 0.0000, 9.6318]], "species": ["Hg", "Hg", "Hg", "Hg", "Hg", "Hg", "Hg", "Hg", "Hg", "Hg", "Hg", "Hg", "Hg", "Hg", "P", "P", "P", "P", "O", "O", "O", "O", "O", "O", "O", "O", "O", "O", "O", "O", "O", "O", "O", "O", "O", "O", "O", "O"], "fractional_positions": [[0.0000, 0.0000, 0.0000], [0.0000, 0.5000, 0.5000], [0.2628, 0.1397, 0.6504], [0.2628, 0.3603, 0.1504], [0.3097, 0.6181, 0.8105], [0.3097, 0.8819, 0.3105], [0.4867, 0.6495, 0.4078], [0.4867, 0.8505, 0.9078], [0.5133, 0.1495, 0.0922], [0.5133, 0.3505, 0.5922], [0.6903, 0.1181, 0.6895], [0.6903, 0.3819, 0.1895], [0.7372, 0.6397, 0.8496], [0.7372, 0.8603, 0.3496], [0.0008, 0.6477, 0.1479], [0.0008, 0.8523, 0.6479], [0.9992, 0.1477, 0.3521], [0.9992, 0.3523, 0.8521], [0.0020, 0.7068, 0.7050], [0.0020, 0.7932, 0.2050], [0.0421, 0.6523, 0.9923], [0.0421, 0.8477, 0.4923], [0.1816, 0.5662, 0.2315], [0.1816, 0.9338, 0.7315], [0.2258, 0.0932, 0.3351], [0.2258, 0.4068, 0.8351], [0.3137, 0.5342, 0.5638], [0.3137, 0.9658, 0.0638], [0.6863, 0.0342, 0.9362], [0.6863, 0.4658, 0.4362], [0.7742, 0.5932, 0.1649], [0.7742, 0.9068, 0.6649], [0.8184, 0.0662, 0.2685], [0.8184, 0.4338, 0.7685], [0.9579, 0.1523, 0.5077], [0.9579, 0.3477, 0.0077], [0.9980, 0.2068, 0.7950], [0.9980, 0.2932, 0.2950]], "volume_a3_per_atom": 16.03, "e_form_raw_mev_per_atom": -1047}

***

(6)
{"formula": "NiAsP2", "functional": "GGA-PBEsol", "state": "relaxed", "lattice_angstrom": [[2.5524, -3.3532, 0.0000], [2.5524, 3.3532, 0.0000], [0.0000, 0.0000, 3.2868]], "species": ["Ni", "As", "P", "P"], "fractional_positions": [[0.0000, 0.0000, 0.0000], [0.5000, 0.5000, 0.0000], [0.0000, 0.5000, 0.5000], [0.5000, 0.0000, 0.5000]], "delta_e_f_ev_per_atom": 0.373, "volume_a3_per_atom": 14.07}

***

(7)
{"formula": "VSiNi", "functional": "GGA-PBEsol", "state": "relaxed", "lattice_angstrom": [[5.9209, 0.0000, 0.0000], [0.0000, 3.5000, 0.0000], [0.0000, 0.0000, 6.8587]], "species": ["V", "V", "V", "V", "Si", "Si", "Si", "Si", "Ni", "Ni", "Ni", "Ni"], "fractional_positions": [[0.0267, 0.2500, 0.1658], [0.4733, 0.7500, 0.6658], [0.5267, 0.2500, 0.3342], [0.9733, 0.7500, 0.8342], [0.2298, 0.7500, 0.3697], [0.2702, 0.2500, 0.8697], [0.7298, 0.7500, 0.1303], [0.7702, 0.2500, 0.6303], [0.1466, 0.2500, 0.5602], [0.3534, 0.7500, 0.0602], [0.6466, 0.2500, 0.9398], [0.8534, 0.7500, 0.4398]], "volume_a3_per_atom": 11.84, "e_form_raw_mev_per_atom": -646}

***

(8)
{"formula": "BSe2ClF", "functional": "GGA-PBEsol", "state": "relaxed", "lattice_angstrom": [[4.8244, 0.0000, 0.0000], [0.0000, 4.8244, 0.0000], [0.0000, 0.0000, 4.1923]], "species": ["B", "Se", "Se", "Cl", "F"], "fractional_positions": [[0.0000, 0.0000, 0.0000], [0.0000, 0.5000, 0.5000], [0.5000, 0.0000, 0.5000], [0.0000, 0.0000, 0.5000], [0.5000, 0.5000, 0.0000]], "volume_a3_per_atom": 19.51, "e_form_raw_mev_per_atom": 1351}

***

(9)
{"formula": "YCuC3", "functional": "GGA-PBEsol", "state": "relaxed", "lattice_angstrom": [[4.3676, 0.0000, 0.0000], [0.0000, 4.3676, 0.0000], [0.0000, 0.0000, 4.3676]], "species": ["Y", "Cu", "C", "C", "C"], "fractional_positions": [[0.0000, 0.0000, 0.0000], [0.5000, 0.5000, 0.5000], [0.0000, 0.0000, 0.5000], [0.0000, 0.5000, 0.0000], [0.5000, 0.0000, 0.0000]], "delta_e_f_ev_per_atom": 3.055, "volume_a3_per_atom": 16.66}

***

(10)
{"formula": "SiSnW3", "functional": "GGA-PBEsol", "state": "relaxed", "lattice_angstrom": [[4.4916, 0.0000, 0.0000], [0.0000, 4.4916, 0.0000], [0.0000, 0.0000, 4.4916]], "species": ["Si", "Sn", "W", "W", "W"], "fractional_positions": [[0.0000, 0.0000, 0.0000], [0.5000, 0.5000, 0.5000], [0.0000, 0.0000, 0.5000], [0.0000, 0.5000, 0.0000], [0.5000, 0.0000, 0.0000]], "volume_a3_per_atom": 18.12, "e_form_raw_mev_per_atom": 1253}

***

(11)
{"formula": "ScAu3", "functional": "GGA-PBEsol", "state": "relaxed", "lattice_angstrom": [[5.2114, 0.0000, 0.0000], [0.0000, 5.2114, 0.0000], [0.0000, 0.0000, 5.2114]], "species": ["Sc", "Sc", "Au", "Au", "Au", "Au", "Au", "Au"], "fractional_positions": [[0.0000, 0.0000, 0.0000], [0.5000, 0.5000, 0.5000], [0.0000, 0.2500, 0.5000], [0.0000, 0.7500, 0.5000], [0.2500, 0.5000, 0.0000], [0.5000, 0.0000, 0.2500], [0.5000, 0.0000, 0.7500], [0.7500, 0.5000, 0.0000]], "delta_e_f_ev_per_atom": -0.634, "volume_a3_per_atom": 17.69}

***

(12)
{"formula": "MnSi2As", "functional": "GGA-PBEsol", "state": "relaxed", "lattice_angstrom": [[2.8453, 0.0000, 0.0000], [0.0000, 2.8453, 0.0000], [0.0000, 0.0000, 6.8620]], "species": ["Mn", "Si", "Si", "As"], "fractional_positions": [[0.0000, 0.0000, 0.0000], [0.0000, 0.0000, 0.4200], [0.5000, 0.5000, 0.1822], [0.5000, 0.5000, 0.7816]], "volume_a3_per_atom": 13.89, "e_form_raw_mev_per_atom": 16}

***

(13)
{"formula": "RbYHfPt2", "functional": "GGA-PBEsol", "state": "relaxed", "lattice_angstrom": [[4.9568, 0.0000, 0.0000], [0.0000, 4.9568, 0.0000], [0.0000, 0.0000, 4.9316]], "species": ["Rb", "Y", "Hf", "Pt", "Pt"], "fractional_positions": [[0.0000, 0.0000, 0.0000], [0.0000, 0.0000, 0.5000], [0.5000, 0.5000, 0.5000], [0.0000, 0.5000, 0.0000], [0.5000, 0.0000, 0.0000]], "delta_e_f_ev_per_atom": 1.675, "volume_a3_per_atom": 24.23}

***

(14)
{"formula": "TlAg", "functional": "GGA-PBEsol", "state": "relaxed", "lattice_angstrom": [[5.5088, -1.5781, 0.0000], [5.5088, 1.5781, 0.0000], [-1.6095, 0.0000, 4.9319]], "species": ["Tl", "Tl", "Ag", "Ag"], "fractional_positions": [[0.1052, 0.1052, 0.3132], [0.8948, 0.8948, 0.6868], [0.3509, 0.3509, 0.1632], [0.6491, 0.6491, 0.8368]], "delta_e_f_ev_per_atom": 0.114, "volume_a3_per_atom": 21.44}

***

(15)
{"formula": "NbTeS2", "functional": "GGA-PBEsol", "state": "relaxed", "lattice_angstrom": [[-3.2500, 3.2500, 4.8277], [3.2500, -3.2500, 4.8277], [3.2500, 3.2500, -4.8277]], "species": ["Nb", "Nb", "Te", "Te", "S", "S", "S", "S"], "fractional_positions": [[0.0000, 0.0000, 0.0000], [0.7500, 0.2500, 0.5000], [0.2500, 0.7500, 0.5000], [0.5000, 0.5000, 0.0000], [0.0503, 0.6250, 0.9253], [0.3750, 0.3003, 0.4253], [0.6997, 0.1250, 0.0747], [0.8750, 0.9497, 0.5747]], "volume_a3_per_atom": 25.50, "e_form_raw_mev_per_atom": -21}

***

(16)
{"formula": "Li2HgPt", "functional": "GGA-PBEsol", "state": "relaxed", "lattice_angstrom": [[4.6416, -1.4373, 0.0000], [4.6416, 1.4373, 0.0000], [-0.8996, 0.0000, 4.5744]], "species": ["Li", "Li", "Hg", "Pt"], "fractional_positions": [[0.0000, 0.0000, 0.0000], [0.2345, 0.2345, 0.7110], [0.4868, 0.4868, 0.4891], [0.7357, 0.7357, 0.1969]], "delta_e_f_ev_per_atom": -0.400, "volume_a3_per_atom": 15.26}

***

(17)
{"formula": "In2FeTe", "functional": "GGA-PBEsol", "state": "relaxed", "lattice_angstrom": [[2.8360, -5.4376, 0.0000], [2.8360, 5.4376, 0.0000], [-2.4388, 0.0000, 2.9300]], "species": ["In", "In", "Fe", "Te"], "fractional_positions": [[0.0000, 0.5000, 0.0000], [0.5000, 0.0000, 0.0000], [0.0000, 0.0000, 0.5000], [0.5000, 0.5000, 0.5000]], "volume_a3_per_atom": 22.59, "e_form_raw_mev_per_atom": 362}

***

(18)
{"formula": "AlCrRu2", "functional": "GGA-PBEsol", "state": "relaxed", "lattice_angstrom": [[4.1784, 0.0000, 0.0000], [0.0000, 4.1784, 0.0000], [0.0000, 0.0000, 2.9353]], "species": ["Al", "Cr", "Ru", "Ru"], "fractional_positions": [[0.0000, 0.0000, 0.0000], [0.5000, 0.5000, 0.0000], [0.0000, 0.5000, 0.5000], [0.5000, 0.0000, 0.5000]], "delta_e_f_ev_per_atom": -0.264, "volume_a3_per_atom": 12.81}

***

(19)
{"formula": "Y2BiO2", "functional": "GGA-PBEsol", "state": "relaxed", "lattice_angstrom": [[-1.9190, 1.9190, 6.6752], [1.9190, -1.9190, 6.6752], [1.9190, 1.9190, -6.6752]], "species": ["Y", "Y", "Bi", "O", "O"], "fractional_positions": [[0.1680, 0.1680, 0.0000], [0.8320, 0.8320, 0.0000], [0.5000, 0.5000, 0.0000], [0.2500, 0.7500, 0.5000], [0.7500, 0.2500, 0.5000]], "volume_a3_per_atom": 19.67, "e_form_raw_mev_per_atom": -2755}

***

(20)
{"formula": "Li2ZnAu2", "functional": "GGA-PBEsol", "state": "relaxed", "lattice_angstrom": [[6.8236, 0.0000, 0.0000], [0.0000, 6.8236, 0.0000], [0.0000, 0.0000, 3.3958]], "species": ["Li", "Li", "Li", "Li", "Zn", "Zn", "Au", "Au", "Au", "Au"], "fractional_positions": [[0.1540, 0.3460, 0.0000], [0.3460, 0.8460, 0.0000], [0.6540, 0.1540, 0.0000], [0.8460, 0.6540, 0.0000], [0.0000, 0.0000, 0.5000], [0.5000, 0.5000, 0.5000], [0.1467, 0.6467, 0.5000], [0.3533, 0.1467, 0.5000], [0.6467, 0.8533, 0.5000], [0.8533, 0.3533, 0.5000]], "delta_e_f_ev_per_atom": -0.359, "volume_a3_per_atom": 15.81}

***

(21)
{"formula": "SrTlCr2Au", "functional": "GGA-PBEsol", "state": "relaxed", "lattice_angstrom": [[5.0674, 0.0000, 0.0000], [0.0000, 5.0674, 0.0000], [0.0000, 0.0000, 6.1062]], "species": ["Sr", "Tl", "Cr", "Cr", "Au"], "fractional_positions": [[0.0000, 0.0000, 0.0000], [0.0000, 0.0000, 0.5000], [0.0000, 0.5000, 0.5000], [0.5000, 0.0000, 0.5000], [0.5000, 0.5000, 0.0000]], "delta_e_f_ev_per_atom": 1.161, "volume_a3_per_atom": 31.36}

***

(22)
{"formula": "ZnRhBr4", "functional": "GGA-PBEsol", "state": "relaxed", "lattice_angstrom": [[0.0000, 4.1970, 4.1970], [4.1970, 0.0000, 4.1970], [4.1970, 4.1970, 0.0000]], "species": ["Zn", "Rh", "Br", "Br", "Br", "Br"], "fractional_positions": [[0.0000, 0.0000, 0.0000], [0.7500, 0.7500, 0.7500], [0.3752, 0.3752, 0.3752], [0.3752, 0.3752, 0.8745], [0.3752, 0.8745, 0.3752], [0.8745, 0.3752, 0.3752]], "volume_a3_per_atom": 24.64, "e_form_raw_mev_per_atom": 1121}

***

(23)
{"formula": "MgCoC3", "functional": "GGA-PBEsol", "state": "relaxed", "lattice_angstrom": [[3.9438, 0.0000, 0.0000], [0.0000, 3.9438, 0.0000], [0.0000, 0.0000, 3.9438]], "species": ["Mg", "Co", "C", "C", "C"], "fractional_positions": [[0.0000, 0.0000, 0.0000], [0.5000, 0.5000, 0.5000], [0.0000, 0.0000, 0.5000], [0.0000, 0.5000, 0.0000], [0.5000, 0.0000, 0.0000]], "delta_e_f_ev_per_atom": 3.302, "volume_a3_per_atom": 12.27}

***

(24)
{"formula": "ScBeOF2", "functional": "GGA-PBEsol", "state": "relaxed", "lattice_angstrom": [[3.6942, 0.0000, 0.0000], [0.0000, 3.6942, 0.0000], [0.0000, 0.0000, 3.2425]], "species": ["Sc", "Be", "O", "F", "F"], "fractional_positions": [[0.0000, 0.0000, 0.0000], [0.5000, 0.5000, 0.5000], [0.5000, 0.5000, 0.0000], [0.0000, 0.5000, 0.5000], [0.5000, 0.0000, 0.5000]], "volume_a3_per_atom": 8.85, "e_form_raw_mev_per_atom": -2598}

***

(25)
{"formula": "Ca2ScOs", "functional": "GGA-PBEsol", "state": "relaxed", "lattice_angstrom": [[3.7525, 0.0000, 0.0000], [0.0000, 3.7525, 0.0000], [0.0000, 0.0000, 6.5050]], "species": ["Ca", "Ca", "Sc", "Os"], "fractional_positions": [[0.0000, 0.0000, 0.2150], [0.0000, 0.0000, 0.7850], [0.5000, 0.5000, 0.5000], [0.5000, 0.5000, 0.0000]], "delta_e_f_ev_per_atom": 0.571, "e_above_lowest_polymorph_ev_per_fu": 1.81, "volume_a3_per_atom": 22.90}

***

(26)
{"formula": "Ba4TaW", "functional": "GGA-PBEsol", "state": "relaxed", "lattice_angstrom": [[0.0000, 4.6818, 4.6818], [4.6818, 0.0000, 4.6818], [4.6818, 4.6818, 0.0000]], "species": ["Ba", "Ba", "Ba", "Ba", "Ta", "W"], "fractional_positions": [[0.1249, 0.1249, 0.1249], [0.1249, 0.1249, 0.6254], [0.1249, 0.6254, 0.1249], [0.6254, 0.1249, 0.1249], [0.5000, 0.5000, 0.5000], [0.7500, 0.7500, 0.7500]], "delta_e_f_ev_per_atom": 1.897, "volume_a3_per_atom": 34.21}

***

(27)
{"formula": "MgBeRe2", "functional": "GGA-PBEsol", "state": "relaxed", "lattice_angstrom": [[2.9865, 0.0000, 0.0000], [0.0000, 2.9865, 0.0000], [0.0000, 0.0000, 6.4035]], "species": ["Mg", "Be", "Re", "Re"], "fractional_positions": [[0.0000, 0.0000, 0.0000], [0.5000, 0.5000, 0.7262], [0.0000, 0.0000, 0.5304], [0.5000, 0.5000, 0.3040]], "delta_e_f_ev_per_atom": 0.073, "e_above_lowest_polymorph_ev_per_fu": 0.00, "volume_a3_per_atom": 14.28}